No. 1
# Sm4TlAu2

An optimized crystal structure of Sm4TlAu2 (PBE, Alexandria).

Values from the calculation:
For the magnetic moment, the calculation gives 0.00 μB per formula unit. The formation energy from the elements comes out at -0.4059 eV/atom.

a b c (Å): 4.989 4.989 10.288
angles (deg): 75.97 75.97 60.00
Element x y z (fractional)
1 Tl 0.000 0.000 0.000
2 Sm 0.618 0.618 0.146
3 Au 0.897 0.897 0.309
4 Sm 0.204 0.204 0.389
5 Au 0.103 0.103 0.691
6 Sm 0.796 0.796 0.611
7 Sm 0.382 0.382 0.854

No. 2
# Sm4TlAu

An optimized crystal structure of Sm4TlAu (PBE, Alexandria).

Values from the calculation:
For the magnetic moment, the calculation gives 0.00 μB per formula unit. The energy above the most stable polymorph in this dataset is 0.0000 eV/atom. The formation energy from the elements comes out at -0.3740 eV/atom.

a b c (Å): 5.540 7.137 9.905
angles (deg): 90.00 115.99 90.00
Element x y z (fractional)
1 Sm 0.334 0.750 0.121
2 Sm 0.924 0.015 0.237
3 Sm 0.076 0.515 0.763
4 Au 0.217 0.250 0.557
5 Sm 0.924 0.485 0.237
6 Sm 0.076 0.985 0.763
7 Sm 0.616 0.250 0.444
8 Au 0.783 0.750 0.443
9 Tl 0.315 0.250 0.081
10 Sm 0.666 0.250 0.879
11 Tl 0.685 0.750 0.919
12 Sm 0.384 0.750 0.556

No. 3
# Sm5TlAu4

An optimized crystal structure of Sm5TlAu4 (PBE, Alexandria).

Values from the calculation:
For the magnetic moment, the calculation gives 0.00 μB per formula unit. The formation energy from the elements comes out at -0.7095 eV/atom.

a b c (Å): 3.675 3.675 18.940
angles (deg): 90.00 90.00 90.00
Element x y z (fractional)
1 Sm 0.500 0.500 0.887
2 Sm 0.500 0.500 0.694
3 Tl 0.000 0.000 0.000
4 Sm 0.500 0.500 0.500
5 Sm 0.500 0.500 0.113
6 Au 0.000 0.000 0.792
7 Au 0.000 0.000 0.597
8 Au 0.000 0.000 0.208
9 Au 0.000 0.000 0.403
10 Sm 0.500 0.500 0.306

No. 4
# Sm4TlAu

An optimized crystal structure of Sm4TlAu (PBE, Alexandria).

Values from the calculation:
For the magnetic moment, the calculation gives 0.00 μB per formula unit. The energy above the most stable polymorph in this dataset is 0.1382 eV/atom. The formation energy from the elements comes out at -0.2358 eV/atom.

a b c (Å): 6.306 9.271 6.319
angles (deg): 90.00 104.74 90.00
Element x y z (fractional)
1 Sm 0.582 0.844 0.107
2 Tl 0.500 0.500 0.000
3 Sm 0.880 0.168 0.404
4 Sm 0.918 0.344 0.893
5 Sm 0.620 0.668 0.596
6 Sm 0.120 0.832 0.596
7 Tl 0.000 0.000 0.000
8 Au 0.500 0.000 0.500
9 Sm 0.082 0.656 0.107
10 Sm 0.380 0.332 0.404
11 Au 0.000 0.500 0.500
12 Sm 0.418 0.156 0.893

No. 5
# Sm5TlAu2

An optimized crystal structure of Sm5TlAu2 (PBE, Alexandria).

Values from the calculation:
For the magnetic moment, the calculation gives 0.00 μB per formula unit. The formation energy from the elements comes out at -0.5111 eV/atom.

a b c (Å): 8.280 8.280 8.871
angles (deg): 117.82 117.82 90.00
Element x y z (fractional)
1 Sm 0.489 0.300 0.288
2 Au 0.365 0.865 0.000
3 Sm 0.200 0.011 0.712
4 Au 0.635 0.135 0.000
5 Sm 0.700 0.200 0.712
6 Sm 0.511 0.700 0.712
7 Sm 0.000 0.000 0.000
8 Sm 0.800 0.989 0.288
9 Sm 0.300 0.800 0.288
10 Au 0.135 0.365 0.000
11 Tl 0.250 0.250 0.500
12 Sm 0.989 0.489 0.288
13 Tl 0.750 0.750 0.500
14 Au 0.865 0.635 0.000
15 Sm 0.500 0.500 0.000
16 Sm 0.011 0.511 0.712

No. 6
# Sm6Tl2Au

An optimized crystal structure of Sm6Tl2Au (PBE, Alexandria).

Values from the calculation:
For the magnetic moment, the calculation gives 0.00 μB per formula unit. The energy above the most stable polymorph in this dataset is 0.0000 eV/atom. The formation energy from the elements comes out at -0.3555 eV/atom.

a b c (Å): 3.854 8.981 8.980
angles (deg): 120.00 90.00 90.00
Element x y z (fractional)
1 Sm 0.000 0.000 0.258
2 Au 0.500 0.000 0.000
3 Sm 0.000 0.742 0.742
4 Tl 0.000 0.333 0.667
5 Sm 0.500 0.000 0.604
6 Tl 0.000 0.667 0.333
7 Sm 0.500 0.604 0.000
8 Sm 0.000 0.258 0.000
9 Sm 0.500 0.396 0.396

No. 7
# Sm8TlAu2

An optimized crystal structure of Sm8TlAu2 (PBE, Alexandria).

Values from the calculation:
For the magnetic moment, the calculation gives 0.00 μB per formula unit. The energy above the most stable polymorph in this dataset is 0.0000 eV/atom. The formation energy from the elements comes out at -0.3438 eV/atom.

a b c (Å): 5.183 7.343 9.554
angles (deg): 107.43 105.74 90.00
Element x y z (fractional)
1 Sm 0.194 0.321 0.389
2 Sm 0.806 0.679 0.611
3 Sm 0.327 0.028 0.654
4 Sm 0.031 0.761 0.062
5 Au 0.185 0.712 0.369
6 Au 0.815 0.288 0.631
7 Sm 0.592 0.467 0.183
8 Sm 0.408 0.533 0.817
9 Sm 0.969 0.239 0.938
10 Tl 0.500 0.000 0.000
11 Sm 0.673 0.972 0.346

No. 8
# Sm5Tl4Au

An optimized crystal structure of Sm5Tl4Au (PBE, Alexandria).

Values from the calculation:
For the magnetic moment, the calculation gives 0.00 μB per formula unit. The formation energy from the elements comes out at -0.4691 eV/atom.

a b c (Å): 3.682 3.682 20.686
angles (deg): 90.00 90.00 90.00
Element x y z (fractional)
1 Sm 0.500 0.500 0.294
2 Sm 0.500 0.500 0.913
3 Sm 0.500 0.500 0.087
4 Sm 0.500 0.500 0.500
5 Tl 0.000 0.000 0.603
6 Tl 0.000 0.000 0.397
7 Tl 0.000 0.000 0.808
8 Au 0.000 0.000 0.000
9 Sm 0.500 0.500 0.706
10 Tl 0.000 0.000 0.192

No. 9
# Sm8TlAu2

An optimized crystal structure of Sm8TlAu2 (PBE, Alexandria).

Values from the calculation:
For the magnetic moment, the calculation gives 0.00 μB per formula unit. The energy above the most stable polymorph in this dataset is 0.0777 eV/atom. The formation energy from the elements comes out at -0.2661 eV/atom.

a b c (Å): 5.635 8.380 8.380
angles (deg): 116.04 99.41 99.41
Element x y z (fractional)
1 Sm 0.416 0.917 0.679
2 Sm 0.194 0.401 0.401
3 Sm 0.416 0.679 0.917
4 Sm 0.806 0.605 0.605
5 Sm 0.585 0.089 0.327
6 Sm 0.000 0.240 0.769
7 Au 0.499 0.307 0.698
8 Sm 0.000 0.769 0.240
9 Au 0.499 0.698 0.307
10 Sm 0.585 0.327 0.089
11 Tl 0.001 0.003 0.003

No. 10
# Sm6Tl2Au

An optimized crystal structure of Sm6Tl2Au (PBE, Alexandria).

Values from the calculation:
For the magnetic moment, the calculation gives 0.00 μB per formula unit. The energy above the most stable polymorph in this dataset is 0.0350 eV/atom. The formation energy from the elements comes out at -0.3205 eV/atom.

a b c (Å): 5.156 10.199 10.201
angles (deg): 90.00 90.00 90.00
Element x y z (fractional)
1 Au 0.500 0.500 0.000
2 Sm 0.000 0.380 0.120
3 Sm 0.000 0.978 0.818
4 Tl 0.500 0.796 0.704
5 Sm 0.000 0.022 0.182
6 Sm 0.500 0.478 0.682
7 Sm 0.500 0.818 0.022
8 Sm 0.500 0.182 0.978
9 Au 0.000 0.000 0.500
10 Sm 0.500 0.880 0.380
11 Tl 0.000 0.296 0.796
12 Tl 0.500 0.204 0.296
13 Tl 0.000 0.704 0.204
14 Sm 0.000 0.620 0.880
15 Sm 0.500 0.120 0.620
16 Sm 0.500 0.522 0.318
17 Sm 0.000 0.318 0.478
18 Sm 0.000 0.682 0.522

No. 11
# SmTlZnAu

An optimized crystal structure of SmTlZnAu (PBE, Alexandria).

Values from the calculation:
For the magnetic moment, the calculation gives 0.00 μB per formula unit. The formation energy from the elements comes out at -0.4037 eV/atom.

a b c (Å): 5.028 5.028 5.028
angles (deg): 60.00 60.00 60.00
Element x y z (fractional)
1 Au 0.750 0.750 0.750
2 Sm 0.500 0.500 0.500
3 Zn 0.250 0.250 0.250
4 Tl 0.000 0.000 0.000

No. 12
# SmTm5Au4

An optimized crystal structure of SmTm5Au4 (PBE, Alexandria).

Values from the calculation:
For the magnetic moment, the calculation gives 0.00 μB per formula unit. The formation energy from the elements comes out at -0.7042 eV/atom.

a b c (Å): 3.529 3.529 19.524
angles (deg): 90.00 90.00 90.00
Element x y z (fractional)
1 Sm 0.000 0.000 0.000
2 Au 0.000 0.000 0.408
3 Tm 0.500 0.500 0.867
4 Tm 0.500 0.500 0.685
5 Tm 0.500 0.500 0.315
6 Au 0.000 0.000 0.779
7 Au 0.000 0.000 0.592
8 Tm 0.500 0.500 0.500
9 Au 0.000 0.000 0.221
10 Tm 0.500 0.500 0.133